1.
Here is a geometry-optimized LiCrBO3 structure from the Alexandria database. Energies are from PBEsol.

The structure in extended XYZ format:
```
12
Lattice="5.3161 -0.0154 -0.0250 -2.5819 4.5503 0.0451 -2.3804 -1.3593 4.8204" Properties=species:S:1:pos:R:3 pbc="T T T"
Li -0.2173 0.8021 3.4142
Li 0.5712 2.3736 1.4264
Cr 3.3112 0.6093 1.2160
Cr -2.9573 2.5663 3.6246
B -2.0515 3.8764 1.2688
B 2.4053 -0.7008 3.5717
O 0.0048 0.5839 1.4089
O 1.0840 -0.5810 4.0248
O 0.3491 2.5917 3.4316
O 2.5496 2.7158 1.5816
O -0.7301 3.7566 0.8157
O -2.1957 0.4598 3.2589
```

Values from the calculation:
E above lowest polymorph (eV per atom): 0.018
Calculated volume (A^3/atom): 9.70
Symmetry: No. 2
Crystal system: triclinic
DOS at the Fermi energy (states/eV per cell): 0.0
Total DFT energy (no corrections) (eV per atom): -7.7619
ΔE_f (raw) (eV/atom): -1.93

=====

2.
Here is a geometry-optimized ZrMnRu2Br structure from the Alexandria database. Energies are from PBEsol.

The structure in extended XYZ format:
```
5
Lattice="4.7017 0.0000 0.0000 0.0000 4.7017 0.0000 0.0000 0.0000 5.0808" Properties=species:S:1:pos:R:3 pbc="T T T"
Ru 2.3508 0.0000 0.0000
Ru 0.0000 2.3508 0.0000
Zr 0.0000 0.0000 0.0000
Mn 2.3508 2.3508 2.5404
Br 0.0000 0.0000 2.5404
```

Values from the calculation:
Calculated volume (A^3/atom): 22.46
Symmetry: No. 123
Crystal system: tetragonal
DOS at the Fermi energy (states/eV per cell): 6.5
Total DFT energy (no corrections) (eV per atom): -6.7920
ΔE_f (raw) (eV/atom): 1.42

=====

3.
Here is a geometry-optimized Re2SnGePt structure from the Alexandria database. Energies are from PBEsol.

The structure in extended XYZ format:
```
5
Lattice="4.8136 0.0000 0.0000 0.0000 4.8136 0.0000 0.0000 0.0000 4.8377" Properties=species:S:1:pos:R:3 pbc="T T T"
Re 2.4068 0.0000 0.0000
Re 0.0000 2.4068 0.0000
Pt 2.4068 2.4068 2.4188
Sn 0.0000 0.0000 0.0000
Ge 0.0000 0.0000 2.4188
```

Values from the calculation:
Calculated volume (A^3/atom): 22.42
Symmetry: No. 123
Crystal system: tetragonal
Energy of formation (eV per formula unit): 13.4
DOS at the Fermi energy (states/eV per cell): 6.2
Total DFT energy (no corrections) (eV per atom): -5.8801

=====

4.
Here is a geometry-optimized Rb2Cu2Au structure from the Alexandria database. Energies are from PBEsol.

The structure in extended XYZ format:
```
5
Lattice="-3.0738 0.5435 -1.5500 1.3993 -0.8557 -3.0750 -1.7248 -9.7765 3.9106" Properties=species:S:1:pos:R:3 pbc="T T T"
Cu -0.5814 -5.3942 -0.7384
Cu -2.8179 -4.6946 0.0241
Rb -1.4029 -2.3489 -1.9597
Rb -1.9965 -7.7398 1.2453
Au 0.0000 0.0000 0.0000
```

Values from the calculation:
Calculated volume (A^3/atom): 25.22
Symmetry: No. 139
Crystal system: tetragonal
Energy of formation (eV per formula unit): 1.4
DOS at the Fermi energy (states/eV per cell): 1.3
Total DFT energy (no corrections) (eV per atom): -2.6532